Record 1
IrAuS2: single point on PBEsol structure, meta-GGA SCAN.

```
IrAuS2
1.0
-2.7853 -0.5919 5.0771
-2.8716 -1.7874 -5.1208
-0.5872 -5.7066 -0.9875
S Ir Au
4 2 2
Direct
0.5938 0.7500 0.3750
0.1562 0.7500 0.8750
0.8750 0.2500 0.5938
0.3750 0.2500 0.1562
0.2500 0.5000 0.2500
0.5000 0.0000 0.5000
0.7500 0.5000 0.7500
0.0000 0.0000 0.0000
```

## Properties
Symmetry = I-42d (122)
Spin magnetization = 0.00 Bohr magnetons per cell
VASP energy = -39.776 eV/atom
Formation energy (no corrections) = 102 meV/atom


Record 2
SbIrAu2: single point on PBEsol structure, meta-GGA SCAN.

```
SbIrAu2
1.0
-0.2628 -2.8480 1.2541
1.1405 -0.5614 2.8526
-7.2134 1.0685 4.8037
Au Ir Sb
2 1 1
Direct
0.0022 0.0022 0.9935
0.7522 0.7522 0.7433
0.5015 0.5015 0.4956
0.2441 0.2441 0.2676
```

## Properties
Symmetry = R3m (160)
Spin magnetization = 0.00 Bohr magnetons per cell
VASP energy = -61.366 eV/atom
Formation energy (no corrections) = 303 meV/atom


Record 3
SbIrAu2: single point on PBEsol structure, meta-GGA SCAN.

```
SbIrAu2
1.0
3.1582 0.0000 0.0000
0.0000 3.1582 0.0000
0.0000 0.0000 7.2013
Au Ir Sb
2 1 1
Direct
0.0000 0.0000 0.0229
0.5000 0.5000 0.2579
0.0000 0.0000 0.5018
0.5000 0.5000 0.7174
```

## Properties
Symmetry = P4mm (99)
Spin magnetization = 0.00 Bohr magnetons per cell
VASP energy = -61.446 eV/atom
Formation energy (no corrections) = 223 meV/atom


Record 4
SbIrAu: single point on PBEsol structure, meta-GGA SCAN.

```
SbIrAu
1.0
3.9192 0.0000 0.0000
-1.9596 3.3941 0.0000
0.0000 0.0000 4.4510
Au Ir Sb
1 1 1
Direct
0.0000 0.0000 0.9803
0.3333 0.6667 0.6471
0.6667 0.3333 0.3726
```

## Properties
Symmetry = P3m1 (156)
Spin magnetization = 0.00 Bohr magnetons per cell
VASP energy = -59.010 eV/atom
Formation energy (no corrections) = 162 meV/atom


Record 5
SbIrAu2: single point on PBEsol structure, meta-GGA SCAN.

```
SbIrAu2
1.0
-0.7780 -2.1573 1.8790
2.7522 -0.0330 1.1017
-2.1820 5.6832 5.6215
Au Ir Sb
2 1 1
Direct
0.0000 0.0000 0.7791
0.0000 0.0000 0.2209
0.5000 0.5000 0.0000
0.5000 0.5000 0.5000
```

## Properties
Symmetry = P4/mmm (123)
Spin magnetization = 0.74 Bohr magnetons per cell
VASP energy = -61.174 eV/atom
Formation energy (no corrections) = 495 meV/atom


Record 6
SbIrAu2: single point on PBEsol structure, meta-GGA SCAN.

```
SbIrAu2
1.0
-1.9389 -0.3581 -3.3410
-3.3112 -0.4519 1.9701
1.9427 4.9892 0.5900
Au Ir Sb
2 1 1
Direct
0.7500 0.2500 0.5000
0.2500 0.7500 0.5000
0.5000 0.5000 0.0000
0.0000 0.0000 0.0000
```

## Properties
Symmetry = I4/mmm (139)
Spin magnetization = 0.00 Bohr magnetons per cell
VASP energy = -61.384 eV/atom
Formation energy (no corrections) = 285 meV/atom


Record 7
SbIrAu4: single point on PBEsol structure, meta-GGA SCAN.

```
SbIrAu4
1.0
-3.3346 1.0453 -4.0929
-3.9372 -3.4621 -1.2148
-5.1288 1.3078 0.9742
Au Ir Sb
4 1 1
Direct
0.3753 0.3753 0.3753
0.3753 0.3753 0.8740
0.8740 0.3753 0.3753
0.3753 0.8740 0.3753
0.7500 0.7500 0.7500
0.0000 0.0000 0.0000
```

## Properties
Symmetry = F-43m (216)
Spin magnetization = 0.00 Bohr magnetons per cell
VASP energy = -63.577 eV/atom
Formation energy (no corrections) = 587 meV/atom


Record 8
ScIrAu2: single point on PBEsol structure, meta-GGA SCAN.

```
ScIrAu2
1.0
-0.6140 2.8740 1.7349
-1.3182 -1.8284 2.5624
5.2055 -0.3526 2.4263
Au Ir Sc
2 1 1
Direct
0.0000 0.0000 0.0044
0.5000 0.5000 0.2505
0.0000 0.0000 0.5091
0.5000 0.5000 0.7360
```

## Properties
Symmetry = P4mm (99)
Spin magnetization = 0.00 Bohr magnetons per cell
VASP energy = -56.473 eV/atom


Record 9
ScIrAu2: single point on PBEsol structure, meta-GGA SCAN.

```
ScIrAu2
1.0
-0.9322 -1.7866 -3.3509
3.3665 1.2077 -1.5804
0.7009 -3.2710 3.8304
Au Ir Sc
2 1 1
Direct
0.7500 0.2500 0.5000
0.2500 0.7500 0.5000
0.5000 0.5000 0.0000
0.0000 0.0000 0.0000
```

## Properties
Symmetry = I4/mmm (139)
Spin magnetization = 0.00 Bohr magnetons per cell
VASP energy = -56.511 eV/atom


Record 10
IrAu2Se: single point on PBEsol structure, meta-GGA SCAN.

```
IrAu2Se
1.0
-1.7599 -1.4323 2.0360
2.3817 -3.6810 -0.6140
2.7875 3.9510 2.9481
Au Ir Se
2 1 1
Direct
0.0000 0.0000 0.5000
0.5000 0.5000 0.5000
0.5000 0.0000 0.0000
0.0000 0.5000 0.0000
```

## Properties
Symmetry = C2/m (12)
Spin magnetization = 0.00 Bohr magnetons per cell
VASP energy = -56.865 eV/atom
Formation energy (no corrections) = 507 meV/atom


Record 11
IrAu2Se: single point on PBEsol structure, meta-GGA SCAN.

```
IrAu2Se
1.0
2.7690 0.0000 0.0000
0.0000 4.2091 0.0000
0.0000 0.0000 5.7317
Au Ir Se
2 1 1
Direct
0.0000 0.0000 0.7594
0.0000 0.0000 0.2406
0.5000 0.5000 0.0000
0.5000 0.5000 0.5000
```

## Properties
Symmetry = Pmmm (47)
Spin magnetization = 0.76 Bohr magnetons per cell
VASP energy = -56.736 eV/atom
Formation energy (no corrections) = 637 meV/atom


Record 12
SiIrAu2: single point on PBEsol structure, meta-GGA SCAN.

```
SiIrAu2
1.0
-0.1260 -1.5045 -2.5285
3.2520 -2.0534 1.0597
-3.0688 -3.6579 2.3293
Au Ir Si
2 1 1
Direct
0.0000 0.0000 0.7490
0.0000 0.0000 0.2510
0.5000 0.5000 0.0000
0.5000 0.5000 0.5000
```

## Properties
Symmetry = Pmmm (47)
Spin magnetization = 0.00 Bohr magnetons per cell
VASP energy = -54.473 eV/atom
Formation energy (no corrections) = 384 meV/atom


Record 13
SiIrAu2: single point on PBEsol structure, meta-GGA SCAN.

```
SiIrAu2
1.0
2.8402 0.0000 0.0000
0.0000 4.4636 0.0000
0.0000 0.0000 4.8951
Au Ir Si
2 1 1
Direct
0.0000 0.0000 0.0000
0.5000 0.5000 0.0000
0.5000 0.0000 0.5000
0.0000 0.5000 0.5000
```

## Properties
Symmetry = Pmmm (47)
Spin magnetization = 0.00 Bohr magnetons per cell
VASP energy = -54.636 eV/atom
Formation energy (no corrections) = 221 meV/atom


Record 14
SrIr2Au: single point on PBEsol structure, meta-GGA SCAN.

```
SrIr2Au
1.0
-0.7673 1.4061 -2.3420
-3.1806 -3.3883 -0.9923
-3.5051 2.2008 3.7195
Au Ir Sr
1 2 1
Direct
0.0000 0.5000 0.5000
0.8278 0.0000 0.7017
0.1722 0.0000 0.2983
0.5000 0.5000 0.0000
```

## Properties
Symmetry = P2/m (10)
Spin magnetization = 0.00 Bohr magnetons per cell
VASP energy = -58.155 eV/atom
Energy above the most stable polymorph in this dataset = 16 kJ/mol of formula units


Record 15
SrIr2Au: single point on PBEsol structure, meta-GGA SCAN.

```
SrIr2Au
1.0
-1.9834 -3.8880 0.3342
2.8876 -3.8182 1.3864
-0.6459 -1.7371 4.6265
Au Ir Sr
1 2 1
Direct
0.2837 0.2163 0.2163
0.0442 0.9558 0.9558
0.6765 0.8235 0.8235
0.4955 0.5045 0.5045
```

## Properties
Symmetry = Imm2 (44)
Spin magnetization = 0.00 Bohr magnetons per cell
VASP energy = -58.175 eV/atom
Energy above the most stable polymorph in this dataset = 8 kJ/mol of formula units


Record 16
SrIr2Au: single point on PBEsol structure, meta-GGA SCAN.

```
SrIr2Au
1.0
2.8939 0.0000 0.0000
0.0000 2.8939 0.0000
0.0000 0.0000 8.5626
Au Ir Sr
1 2 1
Direct
0.5000 0.5000 0.7814
0.0000 0.0000 0.0172
0.5000 0.5000 0.2089
0.0000 0.0000 0.4925
```

## Properties
Symmetry = P4mm (99)
Spin magnetization = 0.00 Bohr magnetons per cell
VASP energy = -58.196 eV/atom
Energy above the most stable polymorph in this dataset = 0 kJ/mol of formula units


Record 17
SrIr2Au: single point on PBEsol structure, meta-GGA SCAN.

```
SrIr2Au
1.0
2.9441 0.0000 0.0000
0.0000 2.9441 0.0000
0.0000 0.0000 8.3033
Au Ir Sr
1 2 1
Direct
0.5000 0.5000 0.5000
0.0000 0.0000 0.7160
0.0000 0.0000 0.2840
0.5000 0.5000 0.0000
```

## Properties
Symmetry = P4/mmm (123)
Spin magnetization = 0.00 Bohr magnetons per cell
VASP energy = -57.881 eV/atom
Energy above the most stable polymorph in this dataset = 122 kJ/mol of formula units


Record 18
SrIrAu: single point on PBEsol structure, meta-GGA SCAN.

```
SrIrAu
1.0
4.2444 0.0000 0.0000
0.0000 4.3750 0.0000
0.0000 -2.1875 3.7889
Au Ir Sr
1 1 1
Direct
0.0000 0.0000 0.0000
0.0000 0.3333 0.6667
0.5000 0.6667 0.3333
```

## Properties
Symmetry = P-6m2 (187)
Spin magnetization = 0.00 Bohr magnetons per cell
VASP energy = -54.543 eV/atom
Energy above the most stable polymorph in this dataset = 0 kJ/mol of formula units


Record 19
SrIrAu: single point on PBEsol structure, meta-GGA SCAN.

```
SrIrAu
1.0
-1.3969 -2.1750 1.6372
0.2044 -0.2681 -3.0412
6.2780 -3.4834 0.7290
Au Ir Sr
1 1 1
Direct
0.0000 0.0000 0.9820
0.3333 0.6667 0.6706
0.6667 0.3333 0.3474
```

## Properties
Symmetry = P3m1 (156)
Spin magnetization = 0.00 Bohr magnetons per cell
VASP energy = -53.637 eV/atom
Energy above the most stable polymorph in this dataset = 262 kJ/mol of formula units


Record 20
SrTl2IrAu: single point on PBEsol structure, meta-GGA SCAN.

```
SrTl2IrAu
1.0
-2.2702 -3.8446 -2.7612
-0.3588 -3.2903 4.8764
-5.3019 2.2975 1.1601
Sr Tl Ir Au
1 2 1 1
Direct
0.0000 0.0000 0.0000
0.0000 0.0000 0.5000
0.0000 0.5000 0.0000
0.5000 0.5000 0.5000
0.5000 0.0000 0.0000
```

## Properties
Symmetry = P4/mmm (123)
Spin magnetization = 1.56 Bohr magnetons per cell
VASP energy = -59.875 eV/atom